Density functional theory data (PBE-GGA) for crystalline MgIn3 at its relaxed geometry.

Its total moment is 0.000 μB/atom. The value obtained for the total energy is -2.43 eV/atom. The formation energy is 0.026 eV/atom.

The space group is P6_3/mmc (No. 194) and the conventional cell measures 5.1406, 5.1406 and 9.2719 Å, with angles of 90.00, 90.00 and 120.00 degrees. The asymmetric unit holds Mg at (0.3333, 0.6667, 0.2500), In at (0.0000, 0.0000, 0.2500) and In at (0.3333, 0.6667, 0.5765).